1.
## LiCo2Cu (PBE-GGA)

Data for a relaxed structure of LiCo2Cu.

Calculated volume ... 91.1 Å³/cell
E ... -4.920 eV per atom
DOS(E_F) ... 6.777 states/eV/cell
Size of the total moment ... 5.5 μB/cell

```
data_LiCo2Cu
_space_group_name_H-M_alt 'C 1 2/m 1'
_space_group_IT_number 12
_cell_length_a 4.875
_cell_length_b 8.572
_cell_length_c 2.413
_cell_angle_alpha 90.00
_cell_angle_beta 115.43
_cell_angle_gamma 90.00
loop_
_space_group_symop_operation_xyz
'x,y,z'
'-x,-y,-z'
'-x,y,-z'
'x,-y,z'
'x+1/2,y+1/2,z'
'-x+1/2,-y+1/2,-z'
'-x+1/2,y+1/2,-z'
'x+1/2,-y+1/2,z'
loop_
_atom_site_label
_atom_site_type_symbol
_atom_site_fract_x
_atom_site_fract_y
_atom_site_fract_z
Li1 Li 0.000 0.000 0.000
Co1 Co 0.250 0.250 0.500
Cu1 Cu 0.000 0.500 0.000
```

2.
## BeFePb2Br (PBE-GGA)

Data for a relaxed structure of BeFePb2Br.

Calculated volume ... 150.4 Å³/cell
E_form (uncorrected) ... 1206.1 meV/atom
E ... -3.050 eV per atom
DOS(E_F) ... 4.437 states/eV/cell
Size of the total moment ... 2.5 μB/cell

```
data_BeFePb2Br
_space_group_name_H-M_alt 'P 4/m m m'
_space_group_IT_number 123
_space_group_name_Hall '-P 4 2'
_cell_length_a 5.882
_cell_length_b 5.882
_cell_length_c 4.347
_cell_angle_alpha 90.00
_cell_angle_beta 90.00
_cell_angle_gamma 90.00
loop_
_atom_site_label
_atom_site_type_symbol
_atom_site_fract_x
_atom_site_fract_y
_atom_site_fract_z
Be1 Be 0.000 0.000 0.000
Fe1 Fe 0.500 0.500 0.000
Pb1 Pb 0.000 0.500 0.500
Br1 Br 0.500 0.500 0.500
```

3.
## ThTcIr (PBE-GGA)

Data for a relaxed structure of ThTcIr.

Calculated volume ... 232.5 Å³/cell
E ... -9.396 eV per atom
DOS(E_F) ... 11.615 states/eV/cell
Size of the total moment ... 0.0 μB/cell

```
data_ThTcIr
_space_group_name_H-M_alt 'I m m a'
_space_group_IT_number 74
_space_group_name_Hall '-I 2b 2'
_cell_length_a 5.077
_cell_length_b 5.589
_cell_length_c 8.195
_cell_angle_alpha 90.00
_cell_angle_beta 90.00
_cell_angle_gamma 90.00
loop_
_atom_site_label
_atom_site_type_symbol
_atom_site_fract_x
_atom_site_fract_y
_atom_site_fract_z
Th1 Th 0.000 0.250 0.124
Tc1 Tc 0.250 0.250 0.750
Ir1 Ir 0.000 0.000 0.500
```

4.
## Tb2TeBr3 (PBE-GGA)

Data for a relaxed structure of Tb2TeBr3.

Calculated volume ... 832.1 Å³/cell
E_form (uncorrected) ... -1572.3 meV/atom
E ... -4.476 eV per atom
DOS(E_F) ... 12.115 states/eV/cell
Size of the total moment ... 2.9 μB/cell

```
data_Tb2TeBr3
_space_group_name_H-M_alt 'C 1 2/m 1'
_space_group_IT_number 12
_cell_length_a 18.354
_cell_length_b 4.188
_cell_length_c 13.749
_cell_angle_alpha 90.00
_cell_angle_beta 128.06
_cell_angle_gamma 90.00
loop_
_space_group_symop_operation_xyz
'x,y,z'
'-x,-y,-z'
'-x,y,-z'
'x,-y,z'
'x+1/2,y+1/2,z'
'-x+1/2,-y+1/2,-z'
'-x+1/2,y+1/2,-z'
'x+1/2,-y+1/2,z'
loop_
_atom_site_label
_atom_site_type_symbol
_atom_site_fract_x
_atom_site_fract_y
_atom_site_fract_z
Tb1 Tb 0.109 0.000 0.438
Tb2 Tb 0.131 0.500 0.839
Te1 Te 0.099 0.000 0.663
Br1 Br 0.055 0.500 0.250
Br2 Br 0.168 0.000 0.020
Br3 Br 0.241 0.500 0.600
```

5.
## CaAl2CuF (PBE-GGA)

Data for a relaxed structure of CaAl2CuF.

Calculated volume ... 186.2 Å³/cell
E_form (uncorrected) ... 848.9 meV/atom
E ... -2.242 eV per atom
DOS(E_F) ... 4.015 states/eV/cell
Size of the total moment ... 0.0 μB/cell

```
data_CaAl2CuF
_space_group_name_H-M_alt 'P 4/m m m'
_space_group_IT_number 123
_space_group_name_Hall '-P 4 2'
_cell_length_a 6.013
_cell_length_b 6.013
_cell_length_c 5.150
_cell_angle_alpha 90.00
_cell_angle_beta 90.00
_cell_angle_gamma 90.00
loop_
_atom_site_label
_atom_site_type_symbol
_atom_site_fract_x
_atom_site_fract_y
_atom_site_fract_z
Ca1 Ca 0.000 0.000 0.000
Al1 Al 0.000 0.500 0.000
Cu1 Cu 0.000 0.000 0.500
F1 F 0.500 0.500 0.500
```

6.
## AlSbOs3 (PBE-GGA)

Data for a relaxed structure of AlSbOs3.

Energy above the lowest structure with this stoichiometry ... 802.3 meV per atom
Calculated volume ... 109.2 Å³/cell
E_form (uncorrected) ... 2326.0 meV/atom
E ... -5.985 eV per atom
DOS(E_F) ... 6.435 states/eV/cell
Size of the total moment ... 0.0 μB/cell

```
data_AlSbOs3
_space_group_name_H-M_alt 'P m -3 m'
_space_group_IT_number 221
_space_group_name_Hall '-P 4 2 3'
_cell_length_a 4.780
_cell_length_b 4.780
_cell_length_c 4.780
_cell_angle_alpha 90.00
_cell_angle_beta 90.00
_cell_angle_gamma 90.00
loop_
_atom_site_label
_atom_site_type_symbol
_atom_site_fract_x
_atom_site_fract_y
_atom_site_fract_z
Al1 Al 0.000 0.000 0.000
Sb1 Sb 0.500 0.500 0.500
Os1 Os 0.000 0.500 0.500
```

7.
## YU2N3 (PBE-GGA)

Data for a relaxed structure of YU2N3.

Calculated volume ... 174.1 Å³/cell
E_form (uncorrected) ... -1416.1 meV/atom
E ... -10.419 eV per atom
DOS(E_F) ... 17.528 states/eV/cell
Size of the total moment ... 6.3 μB/cell

```
data_YU2N3
_space_group_name_H-M_alt 'I 4/m m m'
_space_group_IT_number 139
_space_group_name_Hall '-I 4 2'
_cell_length_a 3.451
_cell_length_b 3.451
_cell_length_c 14.620
_cell_angle_alpha 90.00
_cell_angle_beta 90.00
_cell_angle_gamma 90.00
loop_
_atom_site_label
_atom_site_type_symbol
_atom_site_fract_x
_atom_site_fract_y
_atom_site_fract_z
Y1 Y 0.000 0.000 0.000
U1 U 0.000 0.000 0.334
N1 N 0.000 0.000 0.166
N2 N 0.000 0.000 0.500
```

8.
## CsU2RhS4 (PBE-GGA)

Data for a relaxed structure of CsU2RhS4.

Calculated volume ... 766.1 Å³/cell
E_form (uncorrected) ... -1210.9 meV/atom
E ... -7.122 eV per atom
DOS(E_F) ... 51.209 states/eV/cell
Size of the total moment ... 17.2 μB/cell

```
data_CsU2RhS4
_space_group_name_H-M_alt 'C m c m'
_space_group_IT_number 63
_space_group_name_Hall '-C 2c 2'
_cell_length_a 3.965
_cell_length_b 14.093
_cell_length_c 13.711
_cell_angle_alpha 90.00
_cell_angle_beta 90.00
_cell_angle_gamma 90.00
loop_
_atom_site_label
_atom_site_type_symbol
_atom_site_fract_x
_atom_site_fract_y
_atom_site_fract_z
Cs1 Cs 0.000 0.104 0.250
U1 U 0.000 0.366 0.063
Rh1 Rh 0.000 0.168 0.750
S1 S 0.000 0.000 0.000
S2 S 0.000 0.259 0.602
S3 S 0.000 0.419 0.250
```

Q: Number 3 is which compound?
A: ThTcIr

Q: Among the records above, which one has the lowest calculated volume?
A: LiCo2Cu